1.
Compound: InPbN2
Source: Alexandria
Functional: GGA-PBE
Structure: optimized geometry

Cell: 5.2539 5.2539 6.4359 Å, 65.91 65.91 90.00°
Element x y z (fractional)
Pb  0.0000  0.0000  0.0000
Pb  0.7500  0.2500  0.5000
N  0.6036  0.1250  0.2500
N  0.1464  0.6250  0.2500
N  0.3750  0.3964  0.7500
N  0.8750  0.8536  0.7500
In  0.5000  0.5000  0.0000
In  0.2500  0.7500  0.5000

- ΔE_f (raw): 0.497 eV per atom
- M_tot: 0.00 μB per formula unit
- Excess energy over the best structure of this formula in the dataset: 350 meV/atom
- Calculated total energy: -5.278 eV per atom


2.
Compound: LiAl3Pd2
Source: Alexandria
Functional: GGA-PBE
Structure: optimized geometry

Cell: 4.3411 7.5249 7.5249 Å, 119.84 106.72 106.72°
Element x y z (fractional)
Li  0.2500  0.4163  0.5837
Li  0.7500  0.5837  0.4163
Al  0.5090  0.8425  0.6755
Al  0.0090  0.6755  0.8425
Al  0.5000  0.5000  0.0000
Al  0.4910  0.1575  0.3245
Al  0.0000  0.0000  0.5000
Al  0.9910  0.3245  0.1575
Pd  0.2500  0.0868  0.9132
Pd  0.2500  0.7386  0.2614
Pd  0.7500  0.9132  0.0868
Pd  0.7500  0.2614  0.7386

- Calculated formation energy: -0.645 eV per atom
- M_tot: 0.00 μB per formula unit
- Calculated total energy: -4.566 eV per atom


3.
Compound: TlHgPd
Source: Alexandria
Functional: GGA-PBE
Structure: optimized geometry

Cell: 5.6992 5.5864 5.5865 Å, 75.81 59.91 59.91°
Element x y z (fractional)
Tl  0.1306  0.0107  0.3702
Tl  0.6306  0.6832  0.6977
Hg  0.9609  0.6873  0.0369
Hg  0.4609  0.3499  0.3743
Pd  0.5407  0.1879  0.8748
Pd  0.0407  0.1878  0.8749

- Calculated formation energy: -0.140 eV per atom
- M_tot: 0.00 μB per formula unit
- Excess energy over the best structure of this formula in the dataset: 0 meV/atom
- Calculated total energy: -2.761 eV per atom


4.
Compound: Na3AlPd3O8
Source: Alexandria
Functional: GGA-PBE
Structure: optimized geometry

Cell: 6.0785 6.2031 6.4986 Å, 117.42 90.00 119.34°
Last column: magnetic moment on the atom in μB.
Element x y z (fractional)
Na  0.0000  0.0000  0.0000  0.01
Na  0.0000  0.5000  0.0000  0.00
Na  0.5000  0.5000  0.0000  0.00
Al  0.0000  0.0000  0.5000  0.00
Pd  0.5000  0.0000  0.5000  0.55
Pd  0.5000  0.5000  0.5000  0.01
Pd  0.0000  0.5000  0.5000  0.01
O  0.2470  0.4941  0.2882  0.14
O  0.7530  0.5059  0.7118  0.14
O  0.7895  0.5791  0.3082  0.00
O  0.2105  0.4209  0.6918  0.00
O  0.7832  0.0374  0.3157  0.02
O  0.2168  0.9626  0.6843  0.02
O  0.2542  0.0374  0.3157  0.02
O  0.7458  0.9626  0.6843  0.02

- ΔE_f (raw): -1.188 eV per atom
- M_tot: 1.01 μB per formula unit
- Calculated total energy: -5.384 eV per atom


Which of these has the highest calculated total energy? TlHgPd